[1]
Below is a relaxed structure of CoHg, with properties calculated at the PBE-GGA level.

## Properties
The formation energy from the elements comes out at 1.054 eV per atom. The density of states at the Fermi level is 2.7904 states/eV/atom. As for the space-group type: P6_3/mmc. The value obtained for the density is 9.5 Mg/m³. The calculation puts the total energy at -10.601 eV per cell.

```
CoHg
1.0
4.4855 0.0000 0.0000
-2.2427 3.8845 0.0000
0.0000 0.0000 5.2245
Co Hg
2 2
Cartesian
0.0000 2.5897 1.3061
2.2427 1.2948 3.9184
0.0000 2.5897 3.9184
2.2427 1.2948 1.3061
```

=====

[2]
Below is a relaxed structure of CoHg3, with properties calculated at the PBE-GGA level.

## Properties
The formation energy from the elements comes out at 0.410 eV per atom. The density of states at the Fermi level is 0.9992 states/eV/atom. As for the space-group type: Pmm2. The value obtained for the density is 11.6 Mg/m³. The calculation puts the total energy at -6.372 eV per cell. The calculation puts the excess energy over the best structure of this formula in the dataset at 131 meV per atom.

```
CoHg3
1.0
2.9214 0.0000 0.0000
0.0000 4.4157 0.0000
0.0000 0.0000 7.3389
Co Hg
1 3
Cartesian
0.0000 0.0000 0.0000
0.0000 2.2078 3.1987
1.4607 0.0000 5.0579
1.4607 2.2078 0.3145
```

=====

[3]
Below is a relaxed structure of CoHg2, with properties calculated at the PBE-GGA level.

## Properties
The formation energy from the elements comes out at 0.349 eV per atom. The density of states at the Fermi level is 0.8507 states/eV/atom. As for the space-group type: Cm. The value obtained for the density is 12.6 Mg/m³. The calculation puts the total energy at -13.325 eV per cell.

```
CoHg2
1.0
4.9670 -1.4926 0.0000
4.9670 1.4926 0.0000
-0.7840 0.0000 8.1690
Co Hg
2 4
Cartesian
0.0000 0.0000 0.0000
5.8596 0.0000 1.5359
0.6911 0.0000 3.8327
3.2156 0.0000 1.8163
3.6960 0.0000 5.7252
6.4038 0.0000 7.2541
```

=====

[4]
Below is a relaxed structure of CoHg, with properties calculated at the PBE-GGA level.

## Properties
The formation energy from the elements comes out at 0.403 eV per atom. The density of states at the Fermi level is 0.9991 states/eV/atom. As for the space-group type: Cm. The value obtained for the density is 12.5 Mg/m³. The calculation puts the total energy at -19.806 eV per cell.

```
CoHg
1.0
6.0931 -1.4236 0.0000
6.0931 1.4236 0.0000
-0.0201 0.0000 5.9734
Co Hg
3 3
Cartesian
0.0000 0.0000 0.0000
-0.0066 0.0000 2.3315
7.6173 0.0000 1.1692
3.8621 0.0000 1.1605
4.4607 0.0000 4.1477
7.7211 0.0000 4.1577
```

=====

[5]
Below is a relaxed structure of CoHg3, with properties calculated at the PBE-GGA level.

## Properties
The formation energy from the elements comes out at 0.518 eV per atom. The density of states at the Fermi level is 0.9683 states/eV/atom. As for the space-group type: R-3m. The value obtained for the density is 13.6 Mg/m³. The calculation puts the total energy at -5.938 eV per cell. The calculation puts the excess energy over the best structure of this formula in the dataset at 239 meV per atom.

```
CoHg3
1.0
4.8477 2.7988 0.9875
-4.8477 2.7988 0.9875
0.0000 -5.5977 0.9875
Co Hg
1 3
Cartesian
0.0000 0.0000 0.0000
-2.4239 -1.3994 0.9875
-2.4239 1.3994 1.9750
0.0000 2.7988 0.9875
```

=====

[6]
Below is a relaxed structure of CoHg3, with properties calculated at the PBE-GGA level.

## Properties
The formation energy from the elements comes out at 0.466 eV per atom. The density of states at the Fermi level is 0.7485 states/eV/atom. As for the space-group type: Cmmm. The value obtained for the density is 13.7 Mg/m³. The calculation puts the total energy at -6.146 eV per cell. The calculation puts the excess energy over the best structure of this formula in the dataset at 187 meV per atom.

```
CoHg3
1.0
2.9205 -4.2385 0.0000
2.9205 4.2385 0.0000
0.0000 0.0000 3.2352
Co Hg
1 3
Cartesian
0.0000 0.0000 0.0000
1.4603 2.1192 1.6176
1.4603 -2.1192 1.6176
2.9205 0.0000 0.0000
```